[1]
VASP calculation (PBE-GGA) on an optimized crystal structure of BaGe.

Structure (POSCAR):
```
BaGe
1.0
7.615 0.000 0.000
0.000 7.615 0.000
0.000 0.000 7.615
Ba Ge
4 4
Direct
0.000 0.000 0.000
0.000 0.500 0.500
0.500 0.000 0.500
0.500 0.500 0.000
0.250 0.250 0.250
0.250 0.750 0.750
0.750 0.250 0.750
0.750 0.750 0.250
```

ΔH_f (0 K)   0.30 eV/atom
DOS at the Fermi energy   3.3 states/eV per cell

---

[2]
VASP calculation (PBE-GGA) on an optimized crystal structure of BaGe.

Structure (POSCAR):
```
BaGe
1.0
0.000 5.504 6.745
3.896 0.000 6.745
3.896 5.504 0.000
Ba Ge
4 4
Direct
0.084 0.666 0.084
0.334 0.916 0.334
0.666 0.084 0.666
0.916 0.334 0.916
0.219 0.531 0.531
0.469 0.781 0.781
0.531 0.219 0.219
0.781 0.469 0.469
```

ΔH_f (0 K)   -0.41 eV/atom
DOS at the Fermi energy   7.6 states/eV per cell

---

[3]
VASP calculation (PBE-GGA) on an optimized crystal structure of Ba8Ge2H.

Structure (POSCAR):
```
Ba8Ge2H
1.0
10.505 -2.303 0.000
10.505 2.303 0.000
-0.388 0.000 10.682
Ba Ge H
8 2 1
Direct
0.006 0.006 0.192
0.232 0.232 0.310
0.352 0.352 0.020
0.401 0.401 0.448
0.599 0.599 0.552
0.648 0.648 0.980
0.768 0.768 0.690
0.994 0.994 0.808
0.157 0.157 0.757
0.843 0.843 0.243
0.500 0.500 0.000
```

Electronic total energy   -2.78 eV per atom
DOS at the Fermi energy   12.6 states/eV per cell

---

[4]
VASP calculation (PBE-GGA) on an optimized crystal structure of Ba5Ge2H2.

Structure (POSCAR):
```
Ba5Ge2H2
1.0
-10.743 3.889 3.806
10.743 -3.889 3.806
10.743 3.889 -3.806
Ba Ge H
10 4 4
Direct
0.018 0.891 0.628
0.242 0.019 0.261
0.242 0.481 0.723
0.263 0.391 0.372
0.624 0.063 0.273
0.624 0.851 0.061
0.758 0.519 0.277
0.758 0.981 0.739
0.790 0.351 0.727
0.790 0.563 0.939
0.259 0.377 0.102
0.259 0.657 0.382
0.275 0.157 0.898
0.275 0.877 0.618
0.724 0.542 0.681
0.742 0.242 0.500
0.742 0.742 0.000
0.861 0.042 0.319
```

Electronic total energy   -3.26 eV per atom
DOS at the Fermi energy   6.4 states/eV per cell

---

[5]
VASP calculation (PBE-GGA) on an optimized crystal structure of Ba8Ge3H2.

Structure (POSCAR):
```
Ba8Ge3H2
1.0
3.938 2.274 9.330
-3.938 2.274 9.330
0.000 -4.547 9.330
Ba Ge H
8 3 2
Direct
0.188 0.188 0.188
0.239 0.239 0.712
0.239 0.712 0.239
0.288 0.761 0.761
0.712 0.239 0.239
0.761 0.288 0.761
0.761 0.761 0.288
0.812 0.812 0.812
0.301 0.301 0.301
0.500 0.500 0.500
0.699 0.699 0.699
0.095 0.095 0.095
0.905 0.905 0.905
```

Electronic total energy   -3.06 eV per atom
DOS at the Fermi energy   6.3 states/eV per cell

---

[6]
VASP calculation (PBE-GGA) on an optimized crystal structure of Ba2GeH.

Structure (POSCAR):
```
Ba2GeH
1.0
4.576 0.000 0.000
-2.288 3.963 0.000
0.000 0.000 22.174
Ba Ge H
6 3 3
Direct
0.000 0.000 0.244
0.000 0.000 0.756
0.333 0.667 0.423
0.333 0.667 0.910
0.667 0.333 0.090
0.667 0.333 0.577
0.000 0.000 0.000
0.333 0.667 0.667
0.667 0.333 0.333
0.000 0.000 0.500
0.333 0.667 0.167
0.667 0.333 0.833
```

Relative energy among the computed polymorphs   12.8 kJ per mole of atoms
DOS at the Fermi energy   8.8 states/eV per cell